Crystalline BaMn2Zn at its relaxed geometry. Source: Alexandria, functional PBE.

```
data_BaMn2Zn
_chemical_formula_sum 'Ba1 Mn2 Zn1'
_cell_length_a 3.531
_cell_length_b 5.214
_cell_length_c 5.031
_cell_angle_alpha 90.00
_cell_angle_beta 90.00
_cell_angle_gamma 90.00
_symmetry_space_group_name_H-M 'P 1'
_symmetry_Int_Tables_number 1
_symmetry_space_group_name_Hall 'P 1'
loop_
_atom_site_label
_atom_site_type_symbol
_atom_site_fract_x
_atom_site_fract_y
_atom_site_fract_z
Ba1 Ba 0.000 0.500 0.500
Mn1 Mn 0.000 0.000 0.000
Mn2 Mn 0.500 0.500 0.000
Zn1 Zn 0.500 0.000 0.500
```

- DOS at the Fermi energy: 0.9639 states/eV per atom
- Space-group type: Pmmm (47)
- Electronic total energy: -4.6183 eV per atom
- ρ: 5.604 g/cm3